The following is a PBE-GGA calculation of Er6TeSe3S2 after structural relaxation, from Alexandria via LeMat-Bulk.

Results
E_form (uncorrected), eV/atom: -1.678
Electronic total energy, eV per atom: -5.78

Cell lengths 6.9744, 12.0934, 7.0083 Å; angles 90.00, 109.45, 90.00 degrees
Space group C2/m (No. 12)
Unique sites:
Er  0.2125  0.0000  0.2298 x4
Er  0.2384  0.1815  0.7631 x8
Te  0.0000  0.5000  0.0000 x2
Se  0.0000  0.0000  0.5000 x2
Se  0.0000  0.3437  0.5000 x4
S  0.0000  0.1688  0.0000 x4

=====

The following is a PBE-GGA calculation of SrRuSe2 after structural relaxation, from Alexandria via LeMat-Bulk.

Results
E_form (uncorrected), eV/atom: -0.840
Electronic total energy, eV per atom: -5.32

Cell lengths 4.0362, 4.0362, 18.9638 Å; angles 90.00, 90.00, 120.00 degrees
Space group R3m (No. 160, hexagonal axes)
Unique sites:
Sr  0.0000  0.0000  0.0000 x3
Ru  0.0000  0.0000  0.1773 x3
Se  0.0000  0.0000  0.5655 x3
Se  0.0000  0.0000  0.7802 x3

=====

The following is a PBE-GGA calculation of RbNbAl3 after structural relaxation, from Alexandria via LeMat-Bulk.

Results
E_form, meV per atom: 2272
Electronic total energy, eV per atom: -2.18

Cell lengths 5.2953, 5.2953, 5.2953 Å; angles 90.00, 90.00, 90.00 degrees
Space group Pm-3m (No. 221)
Unique sites:
Rb  0.0000  0.0000  0.0000 x1
Nb  0.5000  0.5000  0.5000 x1
Al  0.0000  0.0000  0.5000 x3

=====

The following is a PBE-GGA calculation of PmY12Tm6 after structural relaxation, from Alexandria via LeMat-Bulk.

Results
E_form, meV per atom: 153
Electronic total energy, eV per atom: -5.59

Cell lengths 11.8317, 11.8317, 15.2942 Å; angles 90.00, 90.00, 120.00 degrees
Space group R-3 (No. 148, hexagonal axes)
Unique sites:
Pm  0.0000  0.0000  0.0000 x3
Y  0.0123  0.8310  0.1907 x18
Y  0.0420  0.8502  0.4149 x18
Tm  0.0116  0.4249  0.6805 x18

=====

The following is a PBE-GGA calculation of RuW5Se12 after structural relaxation, from Alexandria via LeMat-Bulk.

Results
E_form (uncorrected), eV/atom: -0.389
Electronic total energy, eV per atom: -6.83

Cell lengths 5.6993, 10.6503, 13.8510 Å; angles 90.00, 90.01, 90.00 degrees
Space group C2/m (No. 12)
Unique sites:
Ru  0.0000  0.0000  0.0000 x2
W  0.0000  0.1287  0.5000 x4
W  0.0000  0.3722  0.0000 x4
W  0.0000  0.5000  0.5000 x2
Se  0.1562  0.1778  0.1057 x8
Se  0.1604  0.3247  0.3897 x8
Se  0.1719  0.0000  0.3669 x4
Se  0.1807  0.5000  0.1326 x4

=====

The following is a PBE-GGA calculation of Rb2LiMgH5 after structural relaxation, from Alexandria via LeMat-Bulk.

Results
Electronic total energy, eV per atom: -2.66

Cell lengths 3.7725, 15.4021, 10.8824 Å; angles 90.00, 90.00, 90.00 degrees
Space group Cmc2_1 (No. 36)
Unique sites:
Rb  0.0000  0.1207  0.0000 x4
Rb  0.0000  0.1265  0.6334 x4
Li  0.0000  0.2160  0.3342 x4
Mg  0.0000  0.4085  0.7747 x4
H  0.0000  0.0786  0.3151 x4
H  0.0000  0.3071  0.6789 x4
H  0.0000  0.3257  0.9204 x4
H  0.0000  0.3341  0.3249 x4
H  0.0000  0.4884  0.6439 x4

=====

The following is a PBE-GGA calculation of Fe2PtSe after structural relaxation, from Alexandria via LeMat-Bulk.

Results
E_form (uncorrected), eV/atom: 0.100
Electronic total energy, eV per atom: -6.51

Cell lengths 2.8799, 2.8799, 25.5097 Å; angles 90.00, 90.00, 120.00 degrees
Space group R3m (No. 160, hexagonal axes)
Unique sites:
Fe  0.0000  0.0000  0.0000 x3
Fe  0.0000  0.0000  0.2605 x3
Pt  0.0000  0.0000  0.7460 x3
Se  0.0000  0.0000  0.5250 x3

=====

The following is a PBE-GGA calculation of PrIBr after structural relaxation, from Alexandria via LeMat-Bulk.

Results
E_form (uncorrected), eV/atom: -1.476
Electronic total energy, eV per atom: -4.14

Cell lengths 4.1625, 4.1625, 7.9378 Å; angles 90.00, 90.00, 120.00 degrees
Space group P3m1 (No. 156)
Unique sites:
Pr  0.0000  0.0000  0.0000 x1
I  0.3333  0.6667  0.7349 x1
Br  0.6667  0.3333  0.2344 x1

=====

Please write out number 5 again, unchanged.
The following is a PBE-GGA calculation of RuW5Se12 after structural relaxation, from Alexandria via LeMat-Bulk.

Results
E_form (uncorrected), eV/atom: -0.389
Electronic total energy, eV per atom: -6.83

Cell lengths 5.6993, 10.6503, 13.8510 Å; angles 90.00, 90.01, 90.00 degrees
Space group C2/m (No. 12)
Unique sites:
Ru  0.0000  0.0000  0.0000 x2
W  0.0000  0.1287  0.5000 x4
W  0.0000  0.3722  0.0000 x4
W  0.0000  0.5000  0.5000 x2
Se  0.1562  0.1778  0.1057 x8
Se  0.1604  0.3247  0.3897 x8
Se  0.1719  0.0000  0.3669 x4
Se  0.1807  0.5000  0.1326 x4